1.
Compound: NaErOs
Source: OQMD
Functional: PBE
Structure: relaxed

a b c (Å): 6.5727 6.5727 6.5727
angles (deg): 90.00 90.00 90.00
Fractional coordinates of all 12 atoms:
Na (0.0000, 0.0000, 0.0000)
Na (0.0000, 0.5000, 0.5000)
Na (0.5000, 0.0000, 0.5000)
Na (0.5000, 0.5000, 0.0000)
Er (0.2500, 0.2500, 0.2500)
Er (0.2500, 0.7500, 0.7500)
Er (0.7500, 0.2500, 0.7500)
Er (0.7500, 0.7500, 0.2500)
Os (0.0000, 0.0000, 0.5000)
Os (0.0000, 0.5000, 0.0000)
Os (0.5000, 0.0000, 0.0000)
Os (0.5000, 0.5000, 0.5000)

Calculated values
Its total magnetization is 0.03 μB per atom. The calculation puts the total energy at -4.622 eV per atom. Its symmetry is F-43m.

2.
Compound: NaErOs
Source: OQMD
Functional: PBE
Structure: relaxed

a b c (Å): 6.5995 6.5995 6.5995
angles (deg): 90.00 90.00 90.00
Fractional coordinates of all 12 atoms:
Na (0.0000, 0.0000, 0.0000)
Na (0.0000, 0.5000, 0.5000)
Na (0.5000, 0.0000, 0.5000)
Na (0.5000, 0.5000, 0.0000)
Er (0.0000, 0.0000, 0.5000)
Er (0.0000, 0.5000, 0.0000)
Er (0.5000, 0.0000, 0.0000)
Er (0.5000, 0.5000, 0.5000)
Os (0.2500, 0.2500, 0.7500)
Os (0.2500, 0.7500, 0.2500)
Os (0.7500, 0.2500, 0.2500)
Os (0.7500, 0.7500, 0.7500)

Calculated values
Its total magnetization is 0.00 μB per atom. The calculation puts the total energy at -4.928 eV per atom. Its symmetry is F-43m.

3.
Compound: NaErP2S6
Source: OQMD
Functional: PBE
Structure: relaxed

a b c (Å): 6.9172 7.1152 9.1250
angles (deg): 87.05 87.57 87.91
Fractional coordinates of all 20 atoms:
Na (0.0315, 0.1015, 0.2307)
Na (0.9685, 0.8985, 0.7693)
Er (0.4763, 0.6191, 0.2464)
Er (0.5237, 0.3809, 0.7536)
P (0.1500, 0.5370, 0.5287)
P (0.4344, 0.8910, 0.9354)
P (0.5656, 0.1090, 0.0646)
P (0.8500, 0.4630, 0.4713)
S (0.1496, 0.5283, 0.7515)
S (0.2022, 0.7911, 0.4295)
S (0.2044, 0.7968, 0.0613)
S (0.3357, 0.3346, 0.4472)
S (0.3555, 0.3205, 0.0605)
S (0.3750, 0.0194, 0.7391)
S (0.6250, 0.9806, 0.2609)
S (0.6445, 0.6795, 0.9395)
S (0.6643, 0.6654, 0.5528)
S (0.7956, 0.2032, 0.9387)
S (0.7978, 0.2089, 0.5705)
S (0.8504, 0.4717, 0.2485)

Calculated values
Its total magnetization is 0.00 μB per atom. The calculation puts the total energy at -5.053 eV per atom. Its symmetry is P-1.

4.
Compound: NaErPa2
Source: OQMD
Functional: PBE
Structure: relaxed

a b c (Å): 3.1837 3.1837 12.6084
angles (deg): 90.00 90.00 120.00
Fractional coordinates of all 4 atoms:
Na (0.0000, 0.0000, 0.0000)
Er (0.6667, 0.3333, 0.5000)
Pa (0.0000, 0.0000, 0.2689)
Pa (0.0000, 0.0000, 0.7311)

Calculated values
Its total magnetization is 0.03 μB per atom. The calculation puts the total energy at -5.838 eV per atom. Its symmetry is P-6m2.

5.
Compound: NaErPb
Source: OQMD
Functional: PBE
Structure: relaxed

a b c (Å): 5.2046 5.2046 10.3189
angles (deg): 90.00 90.00 120.00
Fractional coordinates of all 9 atoms:
Na (0.0000, 0.0000, 0.0000)
Na (0.3333, 0.6667, 0.3200)
Na (0.3333, 0.6667, 0.6800)
Er (0.6667, 0.3333, 0.1663)
Er (0.6667, 0.3333, 0.5000)
Er (0.6667, 0.3333, 0.8337)
Pb (0.0000, 0.0000, 0.3406)
Pb (0.0000, 0.0000, 0.6594)
Pb (0.3333, 0.6667, 0.0000)

Calculated values
Its total magnetization is 0.00 μB per atom. The calculation puts the total energy at -3.379 eV per atom. Its symmetry is P-6m2.

6.
Compound: NaErPb
Source: OQMD
Functional: PBE
Structure: relaxed

a b c (Å): 7.2711 7.2711 7.2711
angles (deg): 90.00 90.00 90.00
Fractional coordinates of all 12 atoms:
Na (0.0000, 0.0000, 0.0000)
Na (0.0000, 0.5000, 0.5000)
Na (0.5000, 0.0000, 0.5000)
Na (0.5000, 0.5000, 0.0000)
Er (0.0000, 0.0000, 0.5000)
Er (0.0000, 0.5000, 0.0000)
Er (0.5000, 0.0000, 0.0000)
Er (0.5000, 0.5000, 0.5000)
Pb (0.2500, 0.2500, 0.7500)
Pb (0.2500, 0.7500, 0.2500)
Pb (0.7500, 0.2500, 0.2500)
Pb (0.7500, 0.7500, 0.7500)

Calculated values
Its total magnetization is 0.00 μB per atom. The calculation puts the total energy at -3.353 eV per atom. Its symmetry is F-43m.

7.
Compound: NaErTe3Pd
Source: OQMD
Functional: PBE
Structure: relaxed

a b c (Å): 10.0152 4.2954 16.2185
angles (deg): 90.00 90.00 90.00
Fractional coordinates of all 24 atoms:
Na (0.2314, 0.2500, 0.0084)
Na (0.2686, 0.7500, 0.5084)
Na (0.7314, 0.2500, 0.4916)
Na (0.7686, 0.7500, 0.9916)
Er (0.0141, 0.7500, 0.7480)
Er (0.4859, 0.2500, 0.2480)
Er (0.5141, 0.7500, 0.7520)
Er (0.9859, 0.2500, 0.2520)
Te (0.0715, 0.7500, 0.1257)
Te (0.0993, 0.2500, 0.6224)
Te (0.2367, 0.2500, 0.3583)
Te (0.2633, 0.7500, 0.8583)
Te (0.4007, 0.7500, 0.1224)
Te (0.4285, 0.2500, 0.6257)
Te (0.5715, 0.7500, 0.3743)
Te (0.5993, 0.2500, 0.8776)
Te (0.7367, 0.2500, 0.1417)
Te (0.7633, 0.7500, 0.6417)
Te (0.9007, 0.7500, 0.3776)
Te (0.9285, 0.2500, 0.8743)
Pd (0.2393, 0.7500, 0.2527)
Pd (0.2607, 0.2500, 0.7527)
Pd (0.7393, 0.7500, 0.2473)
Pd (0.7607, 0.2500, 0.7473)

Calculated values
Its total magnetization is 0.00 μB per atom. The calculation puts the total energy at -4.309 eV per atom. Its symmetry is Pnma.

8.
Compound: NaErTe3Pd
Source: OQMD
Functional: PBE
Structure: relaxed

a b c (Å): 8.6926 4.2106 10.3447
angles (deg): 90.00 110.23 90.00
Fractional coordinates of all 12 atoms:
Na (0.2350, 0.2500, 0.2688)
Na (0.7650, 0.7500, 0.7312)
Er (0.3121, 0.7500, 0.8442)
Er (0.6879, 0.2500, 0.1558)
Te (0.0624, 0.2500, 0.8489)
Te (0.2346, 0.7500, 0.5249)
Te (0.4321, 0.7500, 0.1556)
Te (0.5679, 0.2500, 0.8444)
Te (0.7654, 0.2500, 0.4751)
Te (0.9376, 0.7500, 0.1511)
Pd (0.0969, 0.2500, 0.5985)
Pd (0.9031, 0.7500, 0.4015)

Calculated values
Its total magnetization is 0.00 μB per atom. The calculation puts the total energy at -4.278 eV per atom. Its symmetry is P2_1/m.

9.
Compound: NaErTe3Pd
Source: OQMD
Functional: PBE
Structure: relaxed

a b c (Å): 8.3335 8.3335 10.1205
angles (deg): 90.00 90.00 150.48
Fractional coordinates of all 12 atoms:
Na (0.2413, 0.7587, 0.7500)
Na (0.7587, 0.2413, 0.2500)
Er (0.0000, 0.0000, 0.0000)
Er (0.0000, 0.0000, 0.5000)
Te (0.1066, 0.8934, 0.2500)
Te (0.3722, 0.6278, 0.0835)
Te (0.3722, 0.6278, 0.4165)
Te (0.6278, 0.3722, 0.5835)
Te (0.6278, 0.3722, 0.9165)
Te (0.8934, 0.1066, 0.7500)
Pd (0.5000, 0.5000, 0.2500)
Pd (0.5000, 0.5000, 0.7500)

Calculated values
Its total magnetization is 0.00 μB per atom. The calculation puts the total energy at -4.308 eV per atom. Its symmetry is Cmcm.

10.
Compound: NaPmEr
Source: OQMD
Functional: PBE
Structure: relaxed

a b c (Å): 7.5482 7.5482 7.5482
angles (deg): 90.00 90.00 90.00
Fractional coordinates of all 12 atoms:
Na (0.0000, 0.0000, 0.0000)
Na (0.0000, 0.5000, 0.5000)
Na (0.5000, 0.0000, 0.5000)
Na (0.5000, 0.5000, 0.0000)
Pm (0.2500, 0.2500, 0.2500)
Pm (0.2500, 0.7500, 0.7500)
Pm (0.7500, 0.2500, 0.7500)
Pm (0.7500, 0.7500, 0.2500)
Er (0.2500, 0.2500, 0.7500)
Er (0.2500, 0.7500, 0.2500)
Er (0.7500, 0.2500, 0.2500)
Er (0.7500, 0.7500, 0.7500)

Calculated values
Its total magnetization is 0.47 μB per atom. The calculation puts the total energy at -2.741 eV per atom. Its symmetry is F-43m.

11.
Compound: NaErPu
Source: OQMD
Functional: PBE
Structure: relaxed

a b c (Å): 7.3131 7.3131 7.3131
angles (deg): 90.00 90.00 90.00
Fractional coordinates of all 12 atoms:
Na (0.0000, 0.0000, 0.0000)
Na (0.0000, 0.5000, 0.5000)
Na (0.5000, 0.0000, 0.5000)
Na (0.5000, 0.5000, 0.0000)
Er (0.2500, 0.2500, 0.7500)
Er (0.2500, 0.7500, 0.2500)
Er (0.7500, 0.2500, 0.2500)
Er (0.7500, 0.7500, 0.7500)
Pu (0.2500, 0.2500, 0.2500)
Pu (0.2500, 0.7500, 0.7500)
Pu (0.7500, 0.2500, 0.7500)
Pu (0.7500, 0.7500, 0.2500)

Calculated values
Its total magnetization is 2.62 μB per atom. The calculation puts the total energy at -5.696 eV per atom. Its symmetry is F-43m.

12.
Compound: NaErSeS
Source: OQMD
Functional: PBE
Structure: relaxed

a b c (Å): 4.0245 4.0245 20.3201
angles (deg): 90.00 90.00 120.00
Fractional coordinates of all 12 atoms:
Na (0.0000, 0.0000, 0.0000)
Na (0.3333, 0.6667, 0.6667)
Na (0.6667, 0.3333, 0.3333)
Er (0.0000, 0.0000, 0.5066)
Er (0.3333, 0.6667, 0.1732)
Er (0.6667, 0.3333, 0.8399)
Se (0.0000, 0.0000, 0.7589)
Se (0.3333, 0.6667, 0.4255)
Se (0.6667, 0.3333, 0.0922)
S (0.0000, 0.0000, 0.2451)
S (0.3333, 0.6667, 0.9117)
S (0.6667, 0.3333, 0.5784)

Calculated values
Its total magnetization is 0.00 μB per atom. The calculation puts the total energy at -5.147 eV per atom. Its symmetry is R3m.

13.
Compound: NaSrErS3
Source: OQMD
Functional: PBE
Structure: relaxed

a b c (Å): 8.7323 8.7323 8.6923
angles (deg): 104.51 104.51 26.38
Fractional coordinates of all 12 atoms:
Na (0.0030, 0.0030, 0.2030)
Na (0.9970, 0.9970, 0.7970)
Sr (0.3641, 0.3641, 0.4335)
Sr (0.6359, 0.6359, 0.5665)
Er (0.3340, 0.3340, 0.9136)
Er (0.6660, 0.6660, 0.0864)
S (0.0000, 0.0000, 0.5000)
S (0.1697, 0.1697, 0.8654)
S (0.1781, 0.1781, 0.3084)
S (0.5000, 0.5000, 0.0000)
S (0.8219, 0.8219, 0.6916)
S (0.8303, 0.8303, 0.1346)

Calculated values
Its total magnetization is 0.00 μB per atom. The calculation puts the total energy at -5.206 eV per atom. Its symmetry is C2/m.

14.
Compound: NaSrErS3
Source: OQMD
Functional: PBE
Structure: relaxed

a b c (Å): 13.8172 4.0753 11.5292
angles (deg): 90.00 90.00 90.00
Fractional coordinates of all 24 atoms:
Na (0.0177, 0.2500, 0.0853)
Na (0.4823, 0.7500, 0.5853)
Na (0.5177, 0.2500, 0.4147)
Na (0.9823, 0.7500, 0.9147)
Sr (0.2490, 0.7500, 0.9466)
Sr (0.2510, 0.2500, 0.4466)
Sr (0.7490, 0.7500, 0.5534)
Sr (0.7510, 0.2500, 0.0534)
Er (0.0029, 0.2500, 0.6550)
Er (0.4971, 0.7500, 0.1550)
Er (0.5029, 0.2500, 0.8450)
Er (0.9971, 0.7500, 0.3450)
S (0.1055, 0.2500, 0.8690)
S (0.1101, 0.2500, 0.2742)
S (0.1108, 0.7500, 0.5479)
S (0.3892, 0.2500, 0.0479)
S (0.3899, 0.7500, 0.7742)
S (0.3945, 0.7500, 0.3690)
S (0.6055, 0.2500, 0.6310)
S (0.6101, 0.2500, 0.2258)
S (0.6108, 0.7500, 0.9521)
S (0.8892, 0.2500, 0.4521)
S (0.8899, 0.7500, 0.7258)
S (0.8945, 0.7500, 0.1310)

Calculated values
Its total magnetization is 0.00 μB per atom. The calculation puts the total energy at -5.076 eV per atom. Its symmetry is Pnma.

15.
Compound: NaSrErS3
Source: OQMD
Functional: PBE
Structure: relaxed

a b c (Å): 7.5154 4.0531 9.9796
angles (deg): 90.00 107.45 90.00
Fractional coordinates of all 12 atoms:
Na (0.0974, 0.2500, 0.0887)
Na (0.9026, 0.7500, 0.9113)
Sr (0.2938, 0.2500, 0.8070)
Sr (0.7062, 0.7500, 0.1930)
Er (0.2967, 0.7500, 0.3627)
Er (0.7033, 0.2500, 0.6373)
S (0.0497, 0.2500, 0.3354)
S (0.2915, 0.7500, 0.0475)
S (0.4505, 0.7500, 0.6388)
S (0.5495, 0.2500, 0.3612)
S (0.7085, 0.2500, 0.9525)
S (0.9503, 0.7500, 0.6646)

Calculated values
Its total magnetization is 0.00 μB per atom. The calculation puts the total energy at -5.060 eV per atom. Its symmetry is P2_1/m.

16.
Compound: NaErTeS
Source: OQMD
Functional: PBE
Structure: relaxed

a b c (Å): 4.1456 4.1456 21.4006
angles (deg): 90.00 90.00 120.00
Fractional coordinates of all 12 atoms:
Na (0.0000, 0.0000, 0.0000)
Na (0.3333, 0.6667, 0.6667)
Na (0.6667, 0.3333, 0.3333)
Er (0.0000, 0.0000, 0.4819)
Er (0.3333, 0.6667, 0.1485)
Er (0.6667, 0.3333, 0.8152)
Te (0.0000, 0.0000, 0.2356)
Te (0.3333, 0.6667, 0.9023)
Te (0.6667, 0.3333, 0.5690)
S (0.0000, 0.0000, 0.7504)
S (0.3333, 0.6667, 0.4170)
S (0.6667, 0.3333, 0.0837)

Calculated values
Its total magnetization is 0.00 μB per atom. The calculation puts the total energy at -4.830 eV per atom. Its symmetry is R3m.

17.
Compound: NaErZnS3
Source: OQMD
Functional: PBE
Structure: relaxed

a b c (Å): 11.1310 3.9359 11.4460
angles (deg): 90.00 90.00 90.00
Fractional coordinates of all 24 atoms:
Na (0.1535, 0.2500, 0.0049)
Na (0.3465, 0.7500, 0.5049)
Na (0.6535, 0.2500, 0.4951)
Na (0.8465, 0.7500, 0.9951)
Er (0.0274, 0.2500, 0.6760)
Er (0.4726, 0.7500, 0.1760)
Er (0.5274, 0.2500, 0.8240)
Er (0.9726, 0.7500, 0.3240)
Zn (0.2456, 0.2500, 0.2912)
Zn (0.2544, 0.7500, 0.7912)
Zn (0.7456, 0.2500, 0.2088)
Zn (0.7544, 0.7500, 0.7088)
S (0.0536, 0.7500, 0.8429)
S (0.0990, 0.2500, 0.4339)
S (0.2211, 0.7500, 0.1785)
S (0.2789, 0.2500, 0.6785)
S (0.4010, 0.7500, 0.9339)
S (0.4464, 0.2500, 0.3429)
S (0.5536, 0.7500, 0.6571)
S (0.5990, 0.2500, 0.0661)
S (0.7211, 0.7500, 0.3215)
S (0.7789, 0.2500, 0.8215)
S (0.9010, 0.7500, 0.5661)
S (0.9464, 0.2500, 0.1571)

Calculated values
Its total magnetization is 0.00 μB per atom. The calculation puts the total energy at -4.654 eV per atom. Its symmetry is Pnma.

18.
Compound: NaErZnS3
Source: OQMD
Functional: PBE
Structure: relaxed

a b c (Å): 6.7869 6.7869 10.4881
angles (deg): 90.00 90.00 146.73
Fractional coordinates of all 12 atoms:
Na (0.2485, 0.7515, 0.7500)
Na (0.7515, 0.2485, 0.2500)
Er (0.0000, 0.0000, 0.0000)
Er (0.0000, 0.0000, 0.5000)
Zn (0.4675, 0.5325, 0.2500)
Zn (0.5325, 0.4675, 0.7500)
S (0.0772, 0.9228, 0.2500)
S (0.3665, 0.6335, 0.0695)
S (0.3665, 0.6335, 0.4305)
S (0.6335, 0.3665, 0.5695)
S (0.6335, 0.3665, 0.9305)
S (0.9228, 0.0772, 0.7500)

Calculated values
Its total magnetization is 0.00 μB per atom. The calculation puts the total energy at -4.679 eV per atom. Its symmetry is Cmcm.

19.
Compound: NaErZnS3
Source: OQMD
Functional: PBE
Structure: relaxed

a b c (Å): 7.9390 3.9140 9.6247
angles (deg): 90.00 105.59 90.00
Fractional coordinates of all 12 atoms:
Na (0.1853, 0.2500, 0.1742)
Na (0.8147, 0.7500, 0.8258)
Er (0.3312, 0.7500, 0.8511)
Er (0.6688, 0.2500, 0.1489)
Zn (0.0798, 0.2500, 0.6038)
Zn (0.9202, 0.7500, 0.3962)
S (0.0888, 0.2500, 0.8472)
S (0.2195, 0.7500, 0.5461)
S (0.4344, 0.7500, 0.1430)
S (0.5656, 0.2500, 0.8570)
S (0.7805, 0.2500, 0.4539)
S (0.9112, 0.7500, 0.1528)

Calculated values
Its total magnetization is 0.00 μB per atom. The calculation puts the total energy at -4.679 eV per atom. Its symmetry is P2_1/m.

20.
Compound: NaErSc
Source: OQMD
Functional: PBE
Structure: relaxed

a b c (Å): 7.2620 7.2620 7.2620
angles (deg): 90.00 90.00 90.00
Fractional coordinates of all 12 atoms:
Na (0.0000, 0.0000, 0.0000)
Na (0.0000, 0.5000, 0.5000)
Na (0.5000, 0.0000, 0.5000)
Na (0.5000, 0.5000, 0.0000)
Er (0.2500, 0.2500, 0.7500)
Er (0.2500, 0.7500, 0.2500)
Er (0.7500, 0.2500, 0.2500)
Er (0.7500, 0.7500, 0.7500)
Sc (0.2500, 0.2500, 0.2500)
Sc (0.2500, 0.7500, 0.7500)
Sc (0.7500, 0.2500, 0.7500)
Sc (0.7500, 0.7500, 0.2500)

Calculated values
Its total magnetization is 0.48 μB per atom. The calculation puts the total energy at -3.153 eV per atom. Its symmetry is F-43m.